A plane-wave DFT calculation with PBE was carried out for a geometry-optimized Pr4ErIn3 structure.

## Properties
- final energy (hartree per atom) = -0.15850
- size of the total moment (μB per formula unit) = 0.01
- crystal system = trigonal
- space-group type = R-3m, No. 166
- energy relative to the elements (meV/atom) = -326
- calculated volume (Å³ per atom) = 30.6
- excess energy over the best structure of this formula in the dataset (meV/atom) = 0
- theoretical density (kg/m3) = 7293

Unit cell a=9.765 b=9.765 c=9.765 alpha=32.93 beta=32.93 gamma=32.93
Element x y z (fractional)
1 Pr 0.119 0.119 0.119
2 Pr 0.370 0.370 0.370
3 Pr 0.630 0.630 0.630
4 Pr 0.881 0.881 0.881
5 Er 0.500 0.500 0.500
6 In 0.000 0.000 0.000
7 In 0.242 0.242 0.242
8 In 0.758 0.758 0.758

---

A plane-wave DFT calculation with PBE was carried out for a geometry-optimized Fe2ReSnS structure.

## Properties
- final energy (hartree per atom) = -0.24255
- size of the total moment (μB per formula unit) = 5.48
- crystal system = tetragonal
- space-group type = P4/mmm, No. 123
- E_form (uncorrected) (eV per formula unit) = 4.50
- calculated volume (Å³ per atom) = 20.5
- theoretical density (kg/m3) = 7256

Unit cell a=4.867 b=4.867 c=4.335 alpha=90.00 beta=90.00 gamma=90.00
Element x y z (fractional)
1 Fe 0.000 0.500 0.000
2 Fe 0.500 0.000 0.000
3 Re 0.000 0.000 0.000
4 Sn 0.500 0.500 0.500
5 S 0.000 0.000 0.500

---

A plane-wave DFT calculation with PBE was carried out for a geometry-optimized La2ThS4 structure.

## Properties
- final energy (hartree per atom) = -0.25132
- size of the total moment (μB per formula unit) = 0.00
- crystal system = orthorhombic
- space-group type = Cmcm, No. 63
- E_form (uncorrected) (eV per formula unit) = -14.09
- calculated volume (Å³ per atom) = 26.4
- theoretical density (kg/m3) = 5743

Unit cell a=7.186 b=7.186 c=13.377 alpha=90.00 beta=90.00 gamma=147.72
Element x y z (fractional)
1 La 0.133 0.867 0.572
2 La 0.133 0.867 0.928
3 La 0.867 0.133 0.072
4 La 0.867 0.133 0.428
5 Th 0.371 0.629 0.750
6 Th 0.629 0.371 0.250
7 S 0.015 0.985 0.750
8 S 0.222 0.778 0.127
9 S 0.222 0.778 0.373
10 S 0.500 0.500 0.000
11 S 0.500 0.500 0.500
12 S 0.778 0.222 0.627
13 S 0.778 0.222 0.873
14 S 0.985 0.015 0.250

---

A plane-wave DFT calculation with PBE was carried out for a geometry-optimized La3Mg5In2 structure.

## Properties
- final energy (hartree per atom) = -0.10893
- size of the total moment (μB per formula unit) = 0.42
- crystal system = orthorhombic
- space-group type = Ibam, No. 72
- energy relative to the elements (meV/atom) = -141
- calculated volume (Å³ per atom) = 29.3
- theoretical density (kg/m3) = 4358

Unit cell a=10.018 b=10.018 c=10.018 alpha=97.90 beta=94.29 gamma=141.97
Element x y z (fractional)
1 La 0.249 0.124 0.373
2 La 0.250 0.250 0.000
3 La 0.251 0.624 0.875
4 La 0.749 0.376 0.125
5 La 0.750 0.750 0.000
6 La 0.751 0.876 0.627
7 Mg 0.142 0.379 0.522
8 Mg 0.250 0.506 0.256
9 Mg 0.250 0.750 0.500
10 Mg 0.250 0.994 0.744
11 Mg 0.358 0.879 0.237
12 Mg 0.642 0.121 0.763
13 Mg 0.750 0.006 0.256
14 Mg 0.750 0.250 0.500
15 Mg 0.750 0.494 0.744
16 Mg 0.858 0.621 0.478
17 In 0.155 0.859 0.015
18 In 0.345 0.359 0.704
19 In 0.655 0.641 0.296
20 In 0.845 0.141 0.985

---

A plane-wave DFT calculation with PBE was carried out for a geometry-optimized ScAsPtBr2 structure.

## Properties
- final energy (hartree per atom) = -0.14540
- size of the total moment (μB per formula unit) = 0.65
- crystal system = tetragonal
- space-group type = P4/mmm, No. 123
- E_form (uncorrected) (eV per formula unit) = 0.58
- calculated volume (Å³ per atom) = 28.1
- excess energy over the best structure of this formula in the dataset (meV/atom) = 39
- theoretical density (kg/m3) = 5615

Unit cell a=4.992 b=4.992 c=5.634 alpha=90.00 beta=90.00 gamma=90.00
Element x y z (fractional)
1 Sc 0.000 0.000 0.000
2 As 0.000 0.000 0.500
3 Pt 0.500 0.500 0.500
4 Br 0.000 0.500 0.000
5 Br 0.500 0.000 0.000

---

A plane-wave DFT calculation with PBE was carried out for a geometry-optimized CsCuSeBr2 structure.

## Properties
- final energy (hartree per atom) = -0.06358
- size of the total moment (μB per formula unit) = 1.03
- crystal system = tetragonal
- space-group type = P4/mmm, No. 123
- E_form (uncorrected) (eV per formula unit) = 3.13
- calculated volume (Å³ per atom) = 51.7
- excess energy over the best structure of this formula in the dataset (meV/atom) = 1208
- theoretical density (kg/m3) = 2795

Unit cell a=6.626 b=6.626 c=5.888 alpha=90.00 beta=90.00 gamma=90.00
Element x y z (fractional)
1 Cs 0.000 0.000 0.000
2 Cu 0.500 0.500 0.500
3 Se 0.000 0.000 0.500
4 Br 0.000 0.500 0.000
5 Br 0.500 0.000 0.000